Compound: Tc3Ni
Source: Alexandria
Functional: GGA-PBE
Structure: optimized geometry

formation energy	0.040	eV per atom
total DFT energy (no corrections)	-9.180	eV/atom
offset from the most stable computed form	139	meV/atom
space group	Imm2 (44)
calculated volume	13.72	Å³ per atom
density	10.67	g/cm³

Unit cell a=4.6188 b=5.0811 c=2.7567 alpha=74.26 beta=90.00 gamma=117.03
Fractional coordinates of all 4 atoms:
Tc  0.4947  0.0000  0.5000
Ni  0.9991  0.0000  0.0000
Tc  0.5894  0.5059  0.7471
Tc  0.0835  0.4941  0.2529